{"formula": "ScGeAs3", "functional": "GGA-PBEsol", "state": "optimized geometry", "lattice_angstrom": [[4.827, 0.000, 0.000], [0.000, 4.827, 0.000], [0.000, 0.000, 4.827]], "species": ["Sc", "As", "As", "As", "Ge"], "frac_coords": [[0.500, 0.500, 0.500], [0.000, 0.500, 0.000], [0.000, 0.000, 0.500], [0.500, 0.000, 0.000], [0.000, 0.000, 0.000]], "magmom_total_mub_per_cell": 0.00, "e_tot_ev_per_atom": -5.001, "rho_g_cm3": 5.1, "ef_mev_per_atom": 371}